# 1
Below is an optimized crystal structure of HfAg2GeIr, with properties calculated at the GGA-PBE level.

Cell lengths 5.099, 5.099, 4.794 Å; angles 90.00, 90.00, 90.00 degrees
Space group P4/mmm (No. 123)
Asymmetric unit:
1 Hf 0.000 0.000 0.000
2 Ag 0.000 0.500 0.500
3 Ge 0.500 0.500 0.000
4 Ir 0.000 0.000 0.500

Calculated values
Total magnetic moment   0.000 μB/f.u.
E   -5.07 eV per atom
Formation energy   0.75 eV per atom

***

# 2
Below is an optimized crystal structure of Sr2TeCl, with properties calculated at the GGA-PBE level.

Cell lengths 4.5466, 4.5466, 30.3901 Å; angles 90.00, 90.00, 120.00 degrees
Space group R3m (No. 160, hexagonal axes)
Asymmetric unit:
1 Sr 0.0000 0.0000 0.0000
2 Sr 0.0000 0.0000 0.1980
3 Te 0.0000 0.0000 0.5987
4 Cl 0.0000 0.0000 0.8205

Calculated values
Total magnetic moment   0.003 μB/f.u.
Formation energy from raw total energies   -1615 meV/atom
Relative energy among the computed polymorphs   0.042 eV/atom
E   -3.70 eV per atom

***

# 3
Below is an optimized crystal structure of Cd3InCl7, with properties calculated at the GGA-PBE level.

Cell lengths 10.913, 9.132, 6.728 Å; angles 90.00, 99.14, 90.00 degrees
Space group C2/m (No. 12)
Asymmetric unit:
1 Cd 0.000 0.000 0.000
2 Cd 0.000 0.208 0.500
3 In 0.000 0.500 0.000
4 Cl 0.000 0.500 0.500
5 Cl 0.128 0.209 0.215
6 Cl 0.140 0.000 0.707

Calculated values
Total magnetic moment   0.000 μB/f.u.
Formation energy from raw total energies   -993 meV/atom
E   -2.67 eV per atom

***

# 4
Below is an optimized crystal structure of HfAlS2, with properties calculated at the GGA-PBE level.

Cell lengths 3.4552, 3.4552, 24.4751 Å; angles 90.00, 90.00, 120.00 degrees
Space group R-3m (No. 166, hexagonal axes)
Asymmetric unit:
1 Hf 0.0000 0.0000 0.0000
2 Al 0.0000 0.0000 0.5000
3 S 0.0000 0.0000 0.3973

Calculated values
Total magnetic moment   0.000 μB/f.u.
Formation energy from raw total energies   -958 meV/atom
E   -6.45 eV per atom

***

# 5
Below is an optimized crystal structure of SiPPd2Ru, with properties calculated at the GGA-PBE level.

Cell lengths 4.465, 4.465, 4.471 Å; angles 90.00, 90.00, 90.00 degrees
Space group P4/mmm (No. 123)
Asymmetric unit:
1 Si 0.000 0.000 0.000
2 P 0.500 0.500 0.500
3 Pd 0.000 0.500 0.000
4 Ru 0.000 0.000 0.500

Calculated values
Total magnetic moment   1.005 μB/f.u.
Formation energy from raw total energies   544 meV/atom
E   -5.56 eV per atom

***

# 6
Below is an optimized crystal structure of DyMnGe2, with properties calculated at the GGA-PBE level.

Cell lengths 7.141, 4.138, 5.643 Å; angles 90.00, 115.11, 90.00 degrees
Space group C2/m (No. 12)
Asymmetric unit:
1 Dy 0.000 0.000 0.000
2 Mn 0.000 0.500 0.500
3 Ge 0.223 0.000 0.671

Calculated values
Total magnetic moment   2.618 μB/f.u.
E   -6.22 eV per atom
Formation energy   -0.47 eV per atom

***

# 7
Below is an optimized crystal structure of Hf2Nb3Si4, with properties calculated at the GGA-PBE level.

Cell lengths 6.873, 6.870, 6.707 Å; angles 90.00, 109.33, 90.00 degrees
Space group P2_1/c (No. 14)
Asymmetric unit:
1 Hf 0.188 0.171 0.062
2 Nb 0.250 0.677 0.246
3 Nb 0.500 0.000 0.500
4 Si 0.076 0.533 0.856
5 Si 0.489 0.127 0.870

Calculated values
Total magnetic moment   0.000 μB/f.u.
Formation energy from raw total energies   -825 meV/atom
E   -8.80 eV per atom

***

# 8
Below is an optimized crystal structure of Tb2Er6Th3, with properties calculated at the GGA-PBE level.

Cell lengths 6.109, 10.696, 11.473 Å; angles 90.00, 101.79, 90.00 degrees
Space group C2/m (No. 12)
Asymmetric unit:
1 Tb 0.000 0.162 0.000
2 Er 0.241 0.335 0.251
3 Er 0.243 0.000 0.257
4 Th 0.000 0.000 0.500
5 Th 0.000 0.333 0.500

Calculated values
Total magnetic moment   0.002 μB/f.u.
E   -5.17 eV per atom
Formation energy   0.18 eV per atom

***

# 9
Below is an optimized crystal structure of Sr3Cu2SbO9, with properties calculated at the GGA-PBE level.

Cell lengths 5.6016, 5.6016, 6.8590 Å; angles 90.00, 90.00, 120.00 degrees
Space group P-3m1 (No. 164)
Asymmetric unit:
1 Sr 0.0000 0.0000 0.0000
2 Sr 0.3333 0.6667 0.6825
3 Cu 0.3333 0.6667 0.1605
4 Sb 0.0000 0.0000 0.5000
5 O 0.0000 0.5000 0.0000
6 O 0.1668 0.3335 0.3314

Calculated values
Total magnetic moment   0.001 μB/f.u.
Formation energy from raw total energies   -1639 meV/atom
E   -5.77 eV per atom

***

# 10
Below is an optimized crystal structure of TbCeYCd, with properties calculated at the GGA-PBE level.

Cell lengths 7.731, 7.731, 7.731 Å; angles 90.00, 90.00, 90.00 degrees
Space group F-43m (No. 216)
Asymmetric unit:
1 Tb 0.000 0.000 0.000
2 Ce 0.250 0.250 0.250
3 Y 0.250 0.250 0.750
4 Cd 0.000 0.000 0.500

Calculated values
Total magnetic moment   1.698 μB/f.u.
E   -4.47 eV per atom
Formation energy   0.02 eV per atom

***

# 11
Below is an optimized crystal structure of CeSi2Mo4, with properties calculated at the GGA-PBE level.

Cell lengths 4.430, 13.007, 4.383 Å; angles 90.00, 90.00, 90.00 degrees
Space group Cmmm (No. 65)
Asymmetric unit:
1 Ce 0.000 0.000 0.000
2 Si 0.000 0.406 0.500
3 Mo 0.000 0.192 0.500
4 Mo 0.000 0.305 0.000

Calculated values
Total magnetic moment   0.010 μB/f.u.
Formation energy from raw total energies   -225 meV/atom
E   -8.81 eV per atom

***

# 12
Below is an optimized crystal structure of LiPd5Au, with properties calculated at the GGA-PBE level.

Cell lengths 5.413, 7.959, 5.479 Å; angles 90.00, 90.00, 90.00 degrees
Space group Cmmm (No. 65)
Asymmetric unit:
1 Li 0.000 0.000 0.000
2 Pd 0.000 0.500 0.000
3 Pd 0.250 0.250 0.249
4 Au 0.000 0.500 0.500

Calculated values
Total magnetic moment   0.000 μB/f.u.
Relative energy among the computed polymorphs   0.000 eV/atom
E   -4.53 eV per atom
Formation energy   -0.07 eV per atom

***

# 13
Below is an optimized crystal structure of SrAcNdTl, with properties calculated at the GGA-PBE level.

Cell lengths 8.387, 8.387, 8.387 Å; angles 90.00, 90.00, 90.00 degrees
Space group F-43m (No. 216)
Asymmetric unit:
1 Sr 0.000 0.000 0.000
2 Ac 0.250 0.250 0.250
3 Nd 0.000 0.000 0.500
4 Tl 0.250 0.250 0.750

Calculated values
Total magnetic moment   0.540 μB/f.u.
E   -3.16 eV per atom
Formation energy   0.07 eV per atom

***

# 14
Below is an optimized crystal structure of Ce4Bi2F, with properties calculated at the GGA-PBE level.

Cell lengths 4.800, 4.800, 17.039 Å; angles 90.00, 90.00, 90.00 degrees
Space group I4/mmm (No. 139)
Asymmetric unit:
1 Ce 0.000 0.000 0.167
2 Ce 0.000 0.500 0.000
3 Bi 0.000 0.000 0.359
4 F 0.000 0.000 0.000

Calculated values
Total magnetic moment   3.229 μB/f.u.
Formation energy from raw total energies   -1051 meV/atom
E   -5.82 eV per atom

***

# 15
Below is an optimized crystal structure of Tl3Pb6Au, with properties calculated at the GGA-PBE level.

Cell lengths 10.284, 4.947, 12.941 Å; angles 90.00, 109.86, 90.00 degrees
Space group P2_1/m (No. 11)
Asymmetric unit:
1 Tl 0.009 0.250 0.214
2 Tl 0.296 0.750 0.313
3 Tl 0.342 0.250 0.129
4 Pb 0.003 0.250 0.598
5 Pb 0.103 0.750 0.054
6 Pb 0.246 0.250 0.483
7 Pb 0.368 0.750 0.949
8 Pb 0.377 0.250 0.765
9 Pb 0.464 0.750 0.598
10 Au 0.198 0.750 0.663

Calculated values
Total magnetic moment   0.000 μB/f.u.
E   -3.24 eV per atom
Formation energy   0.03 eV per atom

***

# 16
Below is an optimized crystal structure of Ho4Hg2Rh, with properties calculated at the GGA-PBE level.

Cell lengths 7.913, 12.595, 3.973 Å; angles 90.00, 90.00, 90.00 degrees
Space group Pbam (No. 55)
Asymmetric unit:
1 Ho 0.129 0.197 0.000
2 Ho 0.226 0.948 0.500
3 Hg 0.079 0.668 0.500
4 Rh 0.000 0.000 0.000

Calculated values
Total magnetic moment   0.000 μB/f.u.
E   -4.21 eV per atom
Formation energy   -0.46 eV per atom

***

# 17
Below is an optimized crystal structure of YTl2CrSi, with properties calculated at the GGA-PBE level.

Cell lengths 5.232, 5.232, 5.397 Å; angles 90.00, 90.00, 90.00 degrees
Space group P4/mmm (No. 123)
Asymmetric unit:
1 Y 0.000 0.000 0.000
2 Tl 0.000 0.500 0.500
3 Cr 0.500 0.500 0.000
4 Si 0.000 0.000 0.500

Calculated values
Total magnetic moment   4.860 μB/f.u.
Formation energy from raw total energies   642 meV/atom
E   -4.61 eV per atom

***

# 18
Below is an optimized crystal structure of CeSb3Pd5, with properties calculated at the GGA-PBE level.

Cell lengths 4.139, 14.042, 13.048 Å; angles 90.00, 90.00, 90.00 degrees
Space group Cmcm (No. 63)
Asymmetric unit:
1 Ce 0.000 0.128 0.250
2 Sb 0.000 0.130 0.750
3 Sb 0.000 0.381 0.556
4 Pd 0.000 0.000 0.000
5 Pd 0.000 0.196 0.559
6 Pd 0.000 0.442 0.143

Calculated values
Total magnetic moment   1.109 μB/f.u.
Formation energy from raw total energies   -565 meV/atom
E   -5.48 eV per atom

***

# 19
Below is an optimized crystal structure of La5NO5, with properties calculated at the GGA-PBE level.

Cell lengths 11.645, 5.083, 7.320 Å; angles 90.00, 109.03, 90.00 degrees
Space group C2/m (No. 12)
Asymmetric unit:
1 La 0.000 0.000 0.000
2 La 0.155 0.500 0.820
3 La 0.165 0.500 0.334
4 N 0.000 0.500 0.000
5 O 0.000 0.500 0.500
6 O 0.179 0.000 0.322
7 O 0.183 0.000 0.860

Calculated values
Total magnetic moment   0.000 μB/f.u.
Formation energy from raw total energies   -2739 meV/atom
E   -7.99 eV per atom

***

# 20
Below is an optimized crystal structure of NaHfTiCl2, with properties calculated at the GGA-PBE level.

Cell lengths 4.768, 4.768, 6.039 Å; angles 90.00, 90.00, 90.00 degrees
Space group P4/mmm (No. 123)
Asymmetric unit:
1 Na 0.000 0.000 0.000
2 Hf 0.000 0.000 0.500
3 Ti 0.500 0.500 0.500
4 Cl 0.000 0.500 0.000

Calculated values
Total magnetic moment   3.424 μB/f.u.
Formation energy from raw total energies   585 meV/atom
E   -3.99 eV per atom